A plane-wave DFT calculation with PBE-GGA was carried out for a relaxed K4Zn2SnPb crystal.

```
data_K4Zn2SnPb
_cell_length_a 6.496
_cell_length_b 11.001
_cell_length_c 8.230
_cell_angle_alpha 90.00
_cell_angle_beta 90.00
_cell_angle_gamma 90.00
_space_group_name_H-M_alt 'A m m 2'
_space_group_IT_number 38
loop_
_space_group_symop_operation_xyz
'x,y,z'
'-x,-y,z'
'-x,y,z'
'x,-y,z'
'x,y+1/2,z+1/2'
'-x,-y+1/2,z+1/2'
'-x,y+1/2,z+1/2'
'x,-y+1/2,z+1/2'
loop_
_atom_site_label
_atom_site_fract_x
_atom_site_fract_y
_atom_site_fract_z
K1 0.000 0.170 0.000
K2 0.500 0.172 0.691
Zn1 0.254 0.000 0.340
Sn1 0.500 0.000 0.086
Pb1 0.000 0.000 0.600
```



A plane-wave DFT calculation with PBE-GGA was carried out for a relaxed MgTePd crystal.

```
data_MgTePd
_cell_length_a 6.394
_cell_length_b 6.394
_cell_length_c 6.394
_cell_angle_alpha 90.00
_cell_angle_beta 90.00
_cell_angle_gamma 90.00
_space_group_name_H-M_alt 'P 21 3'
_space_group_IT_number 198
_space_group_name_Hall 'P 2ac 2ab 3'
loop_
_atom_site_label
_atom_site_fract_x
_atom_site_fract_y
_atom_site_fract_z
Mg1 0.249 0.249 0.249
Te1 0.250 0.250 0.750
Pd1 0.001 0.499 0.501
```



# Sm3Y3CoTe2 | OQMD | PBE-GGA | optimized geometry
# Magnetic moment   0.0 μB/cell
# Energy relative to the lowest polymorph listed for this composition   0.000 eV/atom
data_Sm3Y3CoTe2
_cell_length_a 8.4521
_cell_length_b 8.4521
_cell_length_c 3.9865
_cell_angle_alpha 90.00
_cell_angle_beta 90.00
_cell_angle_gamma 120.00
_space_group_name_H-M_alt 'P -6 2 m'
_space_group_IT_number 189
_space_group_name_Hall 'P -6 -2'
loop_
_atom_site_label
_atom_site_fract_x
_atom_site_fract_y
_atom_site_fract_z
Sm1 0.0000 0.4021 0.0000
Y1 0.0000 0.7647 0.5000
Co1 0.0000 0.0000 0.0000
Te1 0.3333 0.6667 0.5000



# AgBAsO | OQMD | PBE-GGA | optimized geometry
# Energy relative to the lowest polymorph listed for this composition   0.000 eV/atom
data_AgBAsO
_cell_length_a 3.130
_cell_length_b 8.383
_cell_length_c 4.542
_cell_angle_alpha 90.00
_cell_angle_beta 90.00
_cell_angle_gamma 90.00
_space_group_name_H-M_alt 'P m c 21'
_space_group_IT_number 26
loop_
_space_group_symop_operation_xyz
'x,y,z'
'-x,-y,z+1/2'
'-x,y,z'
'x,-y,z+1/2'
loop_
_atom_site_label
_atom_site_fract_x
_atom_site_fract_y
_atom_site_fract_z
Ag1 0.000 0.096 0.000
B1 0.500 0.422 0.571
As1 0.000 0.236 0.500
O1 0.500 0.454 0.870



# Lu4CdTeC2 | OQMD | PBE-GGA | optimized geometry
# Magnetic moment   0.7 μB/cell
data_Lu4CdTeC2
_cell_length_a 3.6065
_cell_length_b 3.6065
_cell_length_c 14.8712
_cell_angle_alpha 90.00
_cell_angle_beta 90.00
_cell_angle_gamma 120.00
_space_group_name_H-M_alt 'P -6 m 2'
_space_group_IT_number 187
_space_group_name_Hall 'P -6 2'
loop_
_atom_site_label
_atom_site_fract_x
_atom_site_fract_y
_atom_site_fract_z
Lu1 0.0000 0.0000 0.1524
Lu2 0.3333 0.6667 0.3245
Cd1 0.0000 0.0000 0.5000
Te1 0.3333 0.6667 0.0000
C1 0.6667 0.3333 0.2369



# Tb4YBi5 | OQMD | PBE-GGA | optimized geometry
# Magnetic moment   0.0 μB/cell
data_Tb4YBi5
_cell_length_a 4.478
_cell_length_b 4.478
_cell_length_c 31.659
_cell_angle_alpha 90.00
_cell_angle_beta 90.00
_cell_angle_gamma 90.00
_space_group_name_H-M_alt 'I 4/m m m'
_space_group_IT_number 139
_space_group_name_Hall '-I 4 2'
loop_
_atom_site_label
_atom_site_fract_x
_atom_site_fract_y
_atom_site_fract_z
Tb1 0.000 0.000 0.100
Tb2 0.000 0.000 0.300
Y1 0.000 0.000 0.500
Bi1 0.000 0.000 0.000
Bi2 0.000 0.000 0.200
Bi3 0.000 0.000 0.400



Computed calculated total energy, in the same sequence as the records: -1.992, -3.979, -5.910, -5.480, -5.671, -5.422 eV per atom.